This record from the Alexandria database describes an optimized crystal structure of Nd3Sm4Sc2. The functional is PBE.

Unit cell a=11.2637 b=5.0489 c=10.6709 alpha=90.00 beta=108.23 gamma=90.00
With the nearest neighbours (Å) after each atom.
Space group C2/m (No. 12)
Symmetry-distinct sites (fractional):
1 Nd 0.0000 0.0000 0.0000 x2  8 Sm 3.52-3.56, 4 Sc 3.56
2 Nd 0.1688 0.5000 0.5555 x4  3 Nd 3.53-3.61, 3 Sc 3.56-3.57, 6 Sm 3.57-3.61
3 Sm 0.0023 0.0000 0.6711 x4  6 Nd 3.52-3.61, 3 Sc 3.55-3.56, 3 Sm 3.55-3.63
4 Sm 0.1679 0.5000 0.8903 x4  4 Sc 3.54-3.58, 4 Sm 3.54-3.55, 4 Nd 3.55-3.58
5 Sc 0.1664 0.5000 0.2215 x4  7 Sm 3.54-3.58, 5 Nd 3.56-3.57

Energy relative to the lowest polymorph listed for this composition = 0.0 meV per atom
Formation enthalpy at 0 K = 0.041 eV per atom

This record from the Alexandria database describes an optimized crystal structure of Nd3Sm3Sc. The functional is PBE.

Unit cell a=9.6402 b=9.6402 c=5.7854 alpha=90.00 beta=90.00 gamma=120.00
With the nearest neighbours (Å) after each atom.
Space group P6_3/m (No. 176)
Symmetry-distinct sites (fractional):
1 Nd 0.0526 0.2448 0.2500 x6  5 Sm 3.57-3.71, 1 Sc 3.59, 6 Nd 3.61-3.73
2 Sm 0.0972 0.4810 0.7500 x6  3 Sc 3.56-3.65, 4 Sm 3.56-3.60, 5 Nd 3.57-3.71
3 Sc 0.3333 0.6667 0.2500 x2  9 Sm 3.56-3.65, 3 Nd 3.59

Energy relative to the lowest polymorph listed for this composition = 0.0 meV per atom
Formation enthalpy at 0 K = 0.043 eV per atom

This record from the Alexandria database describes an optimized crystal structure of Tb2NdSmSc. The functional is PBE.

Unit cell a=8.2689 b=11.3778 c=7.1204 alpha=90.00 beta=90.00 gamma=90.00
With the nearest neighbours (Å) after each atom.
Space group Cmcm (No. 63)
Symmetry-distinct sites (fractional):
1 Tb 0.1976 0.0000 0.0000 x8  2 Sc 3.07, 1 Tb 3.27
2 Nd 0.0000 0.2325 0.2500 x4  1 Sc 3.02
3 Sm 0.0000 0.2349 0.7500 x4  1 Sc 3.04
4 Sc 0.0000 0.4977 0.2500 x4  1 Nd 3.02, 1 Sm 3.04, 4 Tb 3.07

Formation enthalpy at 0 K = 0.323 eV per atom

This record from the Alexandria database describes an optimized crystal structure of Tb5NdSmSc2. The functional is PBE.

Unit cell a=5.6253 b=21.5590 c=9.3985 alpha=90.00 beta=90.00 gamma=90.00
With the nearest neighbours (Å) after each atom.
Space group Cmc2_1 (No. 36)
Symmetry-distinct sites (fractional):
1 Tb 0.0000 0.0077 0.0000 x4  1 Sc 3.18, 2 Nd 3.55
2 Tb 0.0000 0.2657 0.3128 x4  1 Nd 3.06, 1 Sc 3.29, 1 Sm 3.39, 2 Tb 3.39
3 Tb 0.0000 0.3071 0.6995 x4  2 Sm 3.38, 5 Tb 3.39-3.74, 3 Sc 3.44-3.57, 1 Nd 3.53
4 Tb 0.0000 0.3908 0.0219 x4  3 Tb 3.24-3.60, 4 Sc 3.24-3.47, 1 Nd 3.51
5 Tb 0.0000 0.4684 0.7272 x4  2 Nd 3.19-3.43, 4 Tb 3.24-3.57, 2 Sc 3.40
6 Nd 0.0000 0.4030 0.3945 x4  2 Tb 3.06-3.19
7 Sm 0.0000 0.1874 0.0000 x4  2 Sc 3.21-3.29, 5 Tb 3.38-3.47, 2 Nd 3.56
8 Sc 0.0000 0.1132 0.3055 x4  8 Tb 3.18-3.47, 1 Sm 3.29, 1 Sc 3.53
9 Sc 0.0000 0.1417 0.6754 x4  1 Sm 3.21, 3 Tb 3.24-3.57, 1 Sc 3.53

Formation enthalpy at 0 K = 0.168 eV per atom

This record from the Alexandria database describes an optimized crystal structure of Tb6NdSm3Sc2. The functional is PBE.

Unit cell a=6.1321 b=10.6163 c=11.7304 alpha=90.00 beta=99.99 gamma=90.00
With the nearest neighbours (Å) after each atom.
Space group C2/m (No. 12)
Symmetry-distinct sites (fractional):
1 Tb 0.2450 0.0000 0.2442 x4  2 Sc 3.48, 1 Nd 3.49, 6 Tb 3.52-3.58, 3 Sm 3.58-3.60
2 Tb 0.2498 0.1683 0.7557 x8  2 Sc 3.48, 1 Nd 3.50, 6 Tb 3.52-3.58, 3 Sm 3.58-3.60
3 Nd 0.0000 0.5000 0.0000 x2  6 Tb 3.49-3.50, 6 Sc 3.54
4 Sm 0.0000 0.0000 0.5000 x2  6 Sm 3.54, 6 Tb 3.58-3.60
5 Sm 0.0000 0.3330 0.5000 x4  6 Sm 3.54-3.55, 6 Tb 3.58-3.60
6 Sc 0.0000 0.1669 0.0000 x4  6 Tb 3.48, 3 Nd 3.54, 3 Sc 3.54

Formation enthalpy at 0 K = 0.037 eV per atom

This record from the Alexandria database describes an optimized crystal structure of Tb6NdSm2Sc3. The functional is PBE.

Unit cell a=6.1011 b=10.5672 c=11.5550 alpha=90.00 beta=100.13 gamma=90.00
With the nearest neighbours (Å) after each atom.
Space group C2/m (No. 12)
Symmetry-distinct sites (fractional):
1 Tb 0.2461 0.0000 0.2382 x4  3 Sc 3.39, 6 Tb 3.52, 2 Sm 3.61, 1 Nd 3.61
2 Tb 0.2458 0.3333 0.2383 x8  3 Sc 3.39, 6 Tb 3.52, 2 Sm 3.60-3.61, 1 Nd 3.61
3 Nd 0.0000 0.0000 0.5000 x2  6 Sm 3.52, 6 Tb 3.61
4 Sm 0.0000 0.3334 0.5000 x4  3 Sm 3.52, 3 Nd 3.52, 6 Tb 3.60-3.61
5 Sc 0.0000 0.1670 0.0000 x4  6 Tb 3.39, 6 Sc 3.52-3.53
6 Sc 0.0000 0.5000 0.0000 x2  6 Tb 3.39, 6 Sc 3.52

Formation enthalpy at 0 K = 0.047 eV per atom

This record from the Alexandria database describes an optimized crystal structure of Tb3NdSm6Sc2. The functional is PBE.

Unit cell a=6.1713 b=10.6840 c=11.7286 alpha=90.00 beta=100.07 gamma=90.00
With the nearest neighbours (Å) after each atom.
Space group C2/m (No. 12)
Symmetry-distinct sites (fractional):
1 Tb 0.0000 0.0000 0.0000 x2  6 Tb 3.56, 6 Sm 3.57-3.59
2 Tb 0.0000 0.3330 0.0000 x4  6 Tb 3.56-3.57, 6 Sm 3.57-3.59
3 Nd 0.0000 0.5000 0.5000 x2  6 Sm 3.52, 6 Sc 3.56
4 Sm 0.2451 0.0000 0.7458 x4  2 Sc 3.50, 1 Nd 3.52, 6 Sm 3.54-3.60, 3 Tb 3.57-3.59
5 Sm 0.2491 0.1686 0.2539 x8  2 Sc 3.50, 1 Nd 3.52, 6 Sm 3.54-3.60, 3 Tb 3.57-3.59
6 Sc 0.0000 0.1667 0.5000 x4  6 Sm 3.50, 3 Nd 3.56, 3 Sc 3.56

Formation enthalpy at 0 K = 0.037 eV per atom

This record from the Alexandria database describes an optimized crystal structure of Tb2NdSmSc2. The functional is PBE.

Unit cell a=6.3187 b=17.6164 c=3.3551 alpha=90.00 beta=90.00 gamma=90.00
With the nearest neighbours (Å) after each atom.
Space group Pnnm (No. 58)
Symmetry-distinct sites (fractional):
1 Tb 0.2182 0.1928 0.0000 x4  4 Sc 3.25-3.30, 2 Tb 3.36
2 Nd 0.0000 0.0000 0.0000 x2  2 Sc 3.14, 2 Nd 3.36
3 Sm 0.0000 0.5000 0.0000 x2  2 Sm 3.36, 4 Sc 3.36, 4 Nd 3.58
4 Sc 0.2163 0.3538 0.5000 x4  1 Nd 3.14, 4 Tb 3.25-3.30, 2 Sc 3.36, 2 Sm 3.36

Formation enthalpy at 0 K = 0.277 eV per atom

This record from the Alexandria database describes an optimized crystal structure of Tb3Nd2Sm6Sc. The functional is PBE.

Unit cell a=6.2199 b=10.7708 c=11.9044 alpha=90.00 beta=100.05 gamma=90.00
With the nearest neighbours (Å) after each atom.
Space group C2/m (No. 12)
Symmetry-distinct sites (fractional):
1 Tb 0.0000 0.0000 0.0000 x2  6 Sm 3.58-3.59, 6 Tb 3.59
2 Tb 0.0000 0.3338 0.0000 x4  6 Sm 3.58-3.61, 6 Tb 3.58-3.60
3 Nd 0.0000 0.1665 0.5000 x4  3 Nd 3.59, 3 Sc 3.59, 6 Sm 3.60
4 Sm 0.2470 0.5000 0.2494 x4  6 Sm 3.55-3.61, 3 Tb 3.58-3.59, 1 Sc 3.59, 2 Nd 3.60
5 Sm 0.2475 0.3353 0.7499 x8  6 Sm 3.55-3.61, 1 Sc 3.57, 3 Tb 3.58-3.61, 2 Nd 3.60
6 Sc 0.0000 0.5000 0.5000 x2  6 Sm 3.57-3.59, 6 Nd 3.59

Formation enthalpy at 0 K = 0.025 eV per atom

This record from the Alexandria database describes an optimized crystal structure of Tb5NdSm2Sc. The functional is PBE.

Unit cell a=5.6120 b=19.8362 c=10.4623 alpha=90.00 beta=90.00 gamma=90.00
With the nearest neighbours (Å) after each atom.
Space group Cmc2_1 (No. 36)
Symmetry-distinct sites (fractional):
1 Tb 0.0000 0.0179 0.0000 x4  2 Nd 3.09-3.27
2 Tb 0.0000 0.1259 0.2790 x4  1 Sc 3.53, 4 Sm 3.54-3.60, 4 Tb 3.62-3.72
3 Tb 0.0000 0.2030 0.9642 x4  4 Tb 3.40-3.69, 2 Sc 3.44, 1 Nd 3.45, 3 Sm 3.53-3.63
4 Tb 0.0000 0.2235 0.5825 x4  1 Nd 3.04, 1 Sm 3.26, 2 Tb 3.40
5 Tb 0.0000 0.4822 0.2785 x4  2 Nd 3.19, 3 Sm 3.35-3.54, 1 Sc 3.54
6 Nd 0.0000 0.0876 0.7168 x4  5 Tb 3.04-3.27
7 Sm 0.0000 0.3855 0.9942 x4  1 Sc 3.35, 7 Tb 3.46-3.66, 2 Nd 3.69
8 Sm 0.0000 0.3876 0.5746 x4  9 Tb 3.26-3.62, 1 Sc 3.55
9 Sc 0.0000 0.3039 0.2745 x4  2 Sm 3.35-3.55, 7 Tb 3.44-3.60, 2 Nd 3.59

Formation enthalpy at 0 K = 0.161 eV per atom

This record from the Alexandria database describes an optimized crystal structure of TbNd6SmSc2. The functional is PBE.

Unit cell a=9.1383 b=15.0439 c=9.6557 alpha=90.00 beta=98.87 gamma=90.00
With the nearest neighbours (Å) after each atom.
Space group C2/c (No. 15)
Symmetry-distinct sites (fractional):
1 Tb 0.0000 0.0298 0.2500 x4  4 Sc 3.37-3.38, 6 Nd 3.54-3.76
2 Nd 0.0667 0.1727 0.9466 x8  2 Sc 3.40-3.75, 6 Nd 3.40-3.80, 2 Tb 3.59-3.76
3 Nd 0.0973 0.3986 0.1193 x8  3 Sc 3.25-3.40, 3 Nd 3.30-3.40, 2 Sm 3.38-3.54
4 Nd 0.2117 0.2263 0.3185 x8  3 Nd 3.30-3.62, 1 Sm 3.44, 2 Sc 3.47-3.63, 1 Tb 3.54
5 Sm 0.0000 0.4053 0.7500 x4  6 Nd 3.38-3.54, 2 Sc 3.53
6 Sc 0.2430 0.0479 0.5491 x8  6 Nd 3.25-3.63, 2 Tb 3.37-3.38, 1 Sm 3.53

Formation enthalpy at 0 K = 0.122 eV per atom

This record from the Alexandria database describes an optimized crystal structure of Tb2NdSmSc4. The functional is PBE.

Unit cell a=5.9779 b=3.4530 c=11.1899 alpha=90.00 beta=100.19 gamma=90.00
With the nearest neighbours (Å) after each atom.
Space group P2/m (No. 10)
Symmetry-distinct sites (fractional):
1 Tb 0.0000 0.0000 0.0000 x1  6 Sc 3.39, 4 Sm 3.45, 2 Tb 3.45
2 Tb 0.0000 0.5000 0.5000 x1  6 Sc 3.40, 4 Nd 3.45, 2 Tb 3.45
3 Nd 0.5000 0.0000 0.5000 x1  6 Sc 3.40-3.41, 4 Tb 3.45, 2 Nd 3.45
4 Sm 0.5000 0.5000 0.0000 x1  6 Sc 3.40, 4 Tb 3.45, 2 Sm 3.45
5 Sc 0.2494 0.0000 0.7505 x2  3 Tb 3.39-3.40, 2 Sm 3.40, 1 Nd 3.40, 6 Sc 3.44-3.46
6 Sc 0.2486 0.5000 0.2494 x2  3 Tb 3.39-3.40, 1 Sm 3.40, 2 Nd 3.41, 6 Sc 3.44-3.46

Formation enthalpy at 0 K = 0.063 eV per atom

DOS(E_F) readings, ordered: 1.43 1.65 1.23 1.47 1.38 1.43 1.29 1.70 1.32 1.47 1.59 1.31 states/eV/atom
Volume readings, ordered: 576 466 670 1140 752 733 761 373 785 1165 1312 227 Å³ per cell